Density functional theory data (GGA-PBE) for Er2Zn7 after structural relaxation.

abc: 5.4029 5.4029 37.7235
angles: 90.00 90.00 120.00
With the nearest neighbours (Å) after each atom.
Space group R-3m (No. 166, hexagonal axes)
Unique sites:
Er 0.0000 0.0000 0.0517 [6 per cell]  18 Zn 3.12-3.49
Er 0.0000 0.0000 0.1488 [6 per cell]  12 Zn 3.06-3.19, 3 Er 3.40
Zn 0.0000 0.0000 0.2785 [6 per cell]  6 Zn 2.59-2.60
Zn 0.0000 0.0000 0.3890 [6 per cell]  6 Zn 2.61
Zn 0.0000 0.0000 0.5000 [3 per cell]  6 Zn 2.65
Zn 0.0000 0.5000 0.0000 [9 per cell]  8 Zn 2.59-2.70
Zn 0.0055 0.5027 0.8895 [18 per cell]  7 Zn 2.60-2.75

Summary:
For the formation energy, the calculation gives -0.29 eV/atom. Its crystal system is trigonal. Its calculated volume is 17.7 Å³ per atom.